The following is a DFT calculation (GGA-PBE) of a relaxed structure of La2ZnPt5.

Cell and atoms, written as POSCAR:
```
La2ZnPt5
1.0
-3.136 3.136 4.186
3.136 -3.136 4.186
3.136 3.136 -4.186
La Zn Pt
2 1 5
Direct
0.000 0.500 0.500
0.500 0.000 0.500
0.197 0.197 0.000
0.509 0.509 0.000
0.532 0.532 0.554
0.532 0.978 0.000
0.978 0.532 0.000
0.978 0.978 0.446
```

## Properties
crystal system = tetragonal
ΔH_f (0 K) = -0.857 eV/atom
total energy = -6.02 eV/atom


The following is a DFT calculation (GGA-PBE) of a relaxed structure of PmAlBOs2.

Cell and atoms, written as POSCAR:
```
PmAlBOs2
1.0
2.083 -5.434 0.000
2.083 5.434 0.000
0.000 0.000 7.417
Pm Al B Os
2 2 2 4
Direct
0.046 0.954 0.750
0.954 0.046 0.250
0.234 0.766 0.250
0.766 0.234 0.750
0.500 0.500 0.000
0.500 0.500 0.500
0.321 0.679 0.563
0.321 0.679 0.937
0.679 0.321 0.063
0.679 0.321 0.437
```

## Properties
crystal system = orthorhombic
ΔH_f (0 K) = -0.378 eV/atom
total energy = -7.90 eV/atom


The following is a DFT calculation (GGA-PBE) of a relaxed structure of Al8SiRh2.

Cell and atoms, written as POSCAR:
```
Al8SiRh2
1.0
4.763 0.000 0.000
0.006 5.096 0.000
2.368 2.539 7.065
Al Si Rh
8 1 2
Direct
0.101 0.101 0.299
0.250 0.556 0.500
0.312 0.068 0.869
0.320 0.564 0.868
0.680 0.436 0.132
0.688 0.932 0.131
0.750 0.444 0.500
0.899 0.899 0.701
0.500 0.000 0.500
0.156 0.657 0.186
0.844 0.343 0.814
```

## Properties
formation energy without anion corrections = -0.444 eV/atom
crystal system = triclinic
total energy = -5.00 eV/atom


The following is a DFT calculation (GGA-PBE) of a relaxed structure of ScGeSb3.

Cell and atoms, written as POSCAR:
```
ScGeSb3
1.0
5.441 0.000 0.000
0.000 5.441 0.000
0.000 0.000 5.441
Sc Ge Sb
1 1 3
Direct
0.000 0.000 0.000
0.500 0.500 0.500
0.000 0.000 0.500
0.000 0.500 0.000
0.500 0.000 0.000
```

## Properties
relative energy among the computed polymorphs = 0.00 kcal/mol of atoms
formation energy without anion corrections = 0.413 eV/atom
crystal system = cubic
total energy = -4.25 eV/atom


The following is a DFT calculation (GGA-PBE) of a relaxed structure of TcP2Pt.

Cell and atoms, written as POSCAR:
```
TcP2Pt
1.0
2.589 0.000 0.000
0.000 4.077 0.000
-0.018 0.000 5.717
Tc P Pt
1 2 1
Direct
0.000 0.000 0.000
0.000 0.500 0.243
0.000 0.500 0.757
0.000 0.000 0.500
```

## Properties
relative energy among the computed polymorphs = 11.83 kcal/mol of atoms
crystal system = monoclinic
ΔH_f (0 K) = 0.118 eV/atom
total energy = -6.69 eV/atom


The following is a DFT calculation (GGA-PBE) of a relaxed structure of KSiTc.

Cell and atoms, written as POSCAR:
```
KSiTc
1.0
0.000 3.477 3.477
3.477 0.000 3.477
3.477 3.477 0.000
K Si Tc
1 1 1
Direct
0.000 0.000 0.000
0.750 0.750 0.750
0.250 0.250 0.250
```

## Properties
relative energy among the computed polymorphs = 45.04 kcal/mol of atoms
formation energy without anion corrections = 2.185 eV/atom
crystal system = cubic
total energy = -3.44 eV/atom


The following is a DFT calculation (GGA-PBE) of a relaxed structure of SrSc2Mn.

Cell and atoms, written as POSCAR:
```
SrSc2Mn
1.0
-1.817 2.619 5.450
1.817 -2.619 5.450
1.817 2.619 -5.450
Sr Sc Mn
1 2 1
Direct
0.000 0.000 0.000
0.290 0.790 0.500
0.587 0.587 0.000
0.767 0.267 0.500
```

## Properties
relative energy among the computed polymorphs = 5.23 kcal/mol of atoms
crystal system = orthorhombic
ΔH_f (0 K) = 0.430 eV/atom
total energy = -5.45 eV/atom


The following is a DFT calculation (GGA-PBE) of a relaxed structure of TbPr4Th.

Cell and atoms, written as POSCAR:
```
TbPr4Th
1.0
3.654 0.000 0.000
1.776 6.095 0.000
1.811 1.696 9.383
Tb Pr Th
1 4 1
Direct
0.000 0.000 0.000
0.336 0.993 0.336
0.338 0.496 0.828
0.662 0.504 0.172
0.664 0.007 0.664
0.000 0.500 0.500
```

## Properties
relative energy among the computed polymorphs = 0.00 kcal/mol of atoms
crystal system = triclinic
ΔH_f (0 K) = 0.042 eV/atom
total energy = -5.15 eV/atom


The following is a DFT calculation (GGA-PBE) of a relaxed structure of RbLi2Cl2F.

Cell and atoms, written as POSCAR:
```
RbLi2Cl2F
1.0
7.483 0.000 0.000
0.000 5.342 0.000
-1.947 0.000 7.267
Rb Li Cl F
2 4 4 2
Direct
0.178 0.250 0.323
0.822 0.750 0.677
0.361 0.000 0.862
0.361 0.500 0.862
0.639 0.000 0.138
0.639 0.500 0.138
0.100 0.250 0.842
0.339 0.750 0.602
0.661 0.250 0.398
0.900 0.750 0.158
0.456 0.750 0.044
0.544 0.250 0.956
```

## Properties
formation energy without anion corrections = -2.192 eV/atom
crystal system = monoclinic
total energy = -3.92 eV/atom


The following is a DFT calculation (GGA-PBE) of a relaxed structure of CePr2Y5Ho.

Cell and atoms, written as POSCAR:
```
CePr2Y5Ho
1.0
-4.311 4.311 7.918
4.311 -4.311 7.918
4.311 4.311 -7.918
Ce Pr Y Ho
2 4 10 2
Direct
0.250 0.750 0.500
0.750 0.250 0.500
0.121 0.621 0.742
0.379 0.121 0.500
0.621 0.879 0.500
0.879 0.379 0.258
0.000 0.000 0.000
0.062 0.154 0.500
0.154 0.654 0.092
0.346 0.438 0.500
0.438 0.938 0.092
0.500 0.500 0.000
0.562 0.062 0.908
0.654 0.562 0.500
0.846 0.346 0.908
0.938 0.846 0.500
0.250 0.250 0.000
0.750 0.750 0.000
```

## Properties
crystal system = tetragonal
ΔH_f (0 K) = 0.260 eV/atom
total energy = -5.56 eV/atom


Which of these has the highest total energy?
KSiTc


What did the eighth record say?
The following is a DFT calculation (GGA-PBE) of a relaxed structure of TbPr4Th.

Cell and atoms, written as POSCAR:
```
TbPr4Th
1.0
3.654 0.000 0.000
1.776 6.095 0.000
1.811 1.696 9.383
Tb Pr Th
1 4 1
Direct
0.000 0.000 0.000
0.336 0.993 0.336
0.338 0.496 0.828
0.662 0.504 0.172
0.664 0.007 0.664
0.000 0.500 0.500
```

## Properties
relative energy among the computed polymorphs = 0.00 kcal/mol of atoms
crystal system = triclinic
ΔH_f (0 K) = 0.042 eV/atom
total energy = -5.15 eV/atom


The highest total energy belongs to which entry?
KSiTc